DFT (PBE) results for an optimized crystal structure of LaBeGa.

Results
magnetization: 0.00 Bohr magnetons per cell
energy above the most stable polymorph in this dataset: 0.0513 eV per atom
density of states at the Fermi level: 0.841 states/eV per cell
calculated total energy: -4.1994 eV/atom
E_form: -306 meV per atom

a b c (Å): 10.459 4.442 7.255
angles (deg): 90.00 133.59 90.00
Space group C2/m (No. 12)
Unique sites:
La1 0.249 0.000 0.198 (multiplicity 4)
Be1 0.063 0.500 0.217 (multiplicity 4)
Ga1 0.069 0.000 0.398 (multiplicity 4)